No. 1
Rb2CrSe after structural relaxation. Source: Alexandria, functional PBEsol.

Geometry as CIF:
```
data_Rb2CrSe
_chemical_formula_sum 'Rb8 Cr4 Se4'
_symmetry_space_group_name_H-M 'I -4 2 d'
_symmetry_Int_Tables_number 122
_symmetry_space_group_name_Hall 'I -4 2bw'
_cell_length_a 12.990
_cell_length_b 12.990
_cell_length_c 4.817
_cell_angle_alpha 90.00
_cell_angle_beta 90.00
_cell_angle_gamma 90.00
loop_
_atom_site_label
_atom_site_type_symbol
_atom_site_fract_x
_atom_site_fract_y
_atom_site_fract_z
Rb1 Rb 0.063 0.750 0.125
Cr1 Cr 0.000 0.000 0.500
Se1 Se 0.000 0.000 0.000
```

E_form (uncorrected) = -0.0252 eV per atom
Final energy = -0.29847 Ry/atom
Density of states at the Fermi level = 6.85 states/eV/cell
Magnetic moment = 1.0762 μB/atom

---

No. 2
Re2NiRh after structural relaxation. Source: Alexandria, functional PBEsol.

Geometry as CIF:
```
data_Re2NiRh
_chemical_formula_sum 'Re4 Ni2 Rh2'
_symmetry_space_group_name_H-M 'I 4/m m m'
_symmetry_Int_Tables_number 139
_symmetry_space_group_name_Hall '-I 4 2'
_cell_length_a 3.684
_cell_length_b 3.684
_cell_length_c 7.844
_cell_angle_alpha 90.00
_cell_angle_beta 90.00
_cell_angle_gamma 90.00
loop_
_atom_site_label
_atom_site_type_symbol
_atom_site_fract_x
_atom_site_fract_y
_atom_site_fract_z
Re1 Re 0.000 0.500 0.250
Ni1 Ni 0.000 0.000 0.000
Rh1 Rh 0.000 0.000 0.500
```

ΔE to the lowest computed polymorph = 0.139 eV/atom
Final energy = -0.74982 Ry/atom
E_form = 0.04 eV per atom
Density of states at the Fermi level = 10.00 states/eV/cell
Magnetic moment = 0.0006 μB/atom